(w)
A plane-wave DFT calculation with PBE-GGA was carried out for SbRu2Rh2 after structural relaxation.

## Properties
Total moment ... 0.0 μB per formula unit
Density of states at the Fermi level ... 13.12 states/eV per cell

Geometry as CIF:
```
data_SbRu2Rh2
_chemical_formula_sum 'Sb2 Ru4 Rh4'
_cell_length_a 3.5401
_cell_length_b 3.5401
_cell_length_c 13.4405
_cell_angle_alpha 90.00
_cell_angle_beta 90.00
_cell_angle_gamma 90.00
_space_group_name_H-M_alt 'I 4/m m m'
_space_group_IT_number 139
_space_group_name_Hall '-I 4 2'
loop_
_atom_site_label
_atom_site_fract_x
_atom_site_fract_y
_atom_site_fract_z
_atom_site_occupancy
Sb1 0.0000 0.0000 0.0000 1
Ru1 0.0000 0.5000 0.2500 1
Rh1 0.0000 0.0000 0.3980 1
```

***

(x)
A plane-wave DFT calculation with PBE-GGA was carried out for SbRu2Rh2 after structural relaxation.

## Properties
Total moment ... 0.0 μB per formula unit
Density of states at the Fermi level ... 19.17 states/eV per cell

Geometry as CIF:
```
data_SbRu2Rh2
_chemical_formula_sum 'Sb2 Ru4 Rh4'
_cell_length_a 7.5653
_cell_length_b 7.5653
_cell_length_c 2.8358
_cell_angle_alpha 90.00
_cell_angle_beta 90.00
_cell_angle_gamma 90.00
_space_group_name_H-M_alt 'P 4/m b m'
_space_group_IT_number 127
_space_group_name_Hall '-P 4 2ab'
loop_
_atom_site_label
_atom_site_fract_x
_atom_site_fract_y
_atom_site_fract_z
_atom_site_occupancy
Sb1 0.0000 0.0000 0.0000 1
Ru1 0.1714 0.3286 0.5000 1
Rh1 0.1231 0.6231 0.0000 1
```

***

What is the stability order? It is (w), (x), from most stable to least stable.

***

(w)
A plane-wave DFT calculation with PBE-GGA was carried out for Sc4RuRh after structural relaxation.

## Properties
Total moment ... 0.0 μB per formula unit
Density of states at the Fermi level ... 3.96 states/eV per cell

Geometry as CIF:
```
data_Sc4RuRh
_chemical_formula_sum 'Sc4 Ru1 Rh1'
_cell_length_a 4.4950
_cell_length_b 4.4950
_cell_length_c 6.3636
_cell_angle_alpha 90.00
_cell_angle_beta 90.00
_cell_angle_gamma 90.00
_space_group_name_H-M_alt 'P 4/m m m'
_space_group_IT_number 123
_space_group_name_Hall '-P 4 2'
loop_
_atom_site_label
_atom_site_fract_x
_atom_site_fract_y
_atom_site_fract_z
_atom_site_occupancy
Sc1 0.0000 0.5000 0.2468 1
Ru1 0.0000 0.0000 0.0000 1
Rh1 0.5000 0.5000 0.5000 1
```

***

(x)
A plane-wave DFT calculation with PBE-GGA was carried out for Sc4RuRh after structural relaxation.

## Properties
Total moment ... 0.0 μB per formula unit
Density of states at the Fermi level ... 33.62 states/eV per cell

Geometry as CIF:
```
data_Sc4RuRh
_chemical_formula_sum 'Sc16 Ru4 Rh4'
_cell_length_a 7.6606
_cell_length_b 7.6606
_cell_length_c 7.6606
_cell_angle_alpha 90.00
_cell_angle_beta 90.00
_cell_angle_gamma 90.00
_space_group_name_H-M_alt 'F -4 3 m'
_space_group_IT_number 216
_space_group_name_Hall 'F -4 2 3'
loop_
_atom_site_label
_atom_site_fract_x
_atom_site_fract_y
_atom_site_fract_z
_atom_site_occupancy
Sc1 0.1250 0.1250 0.1250 1
Ru1 0.0000 0.0000 0.5000 1
Rh1 0.2500 0.2500 0.7500 1
```

***

(y)
A plane-wave DFT calculation with PBE-GGA was carried out for Sc4RuRh after structural relaxation.

## Properties
Total moment ... 0.0 μB per formula unit
Density of states at the Fermi level ... 4.19 states/eV per cell

Geometry as CIF:
```
data_Sc4RuRh
_chemical_formula_sum 'Sc4 Ru1 Rh1'
_cell_length_a 3.2015
_cell_length_b 3.2015
_cell_length_c 11.8260
_cell_angle_alpha 90.00
_cell_angle_beta 90.00
_cell_angle_gamma 90.00
_space_group_name_H-M_alt 'P 4/m m m'
_space_group_IT_number 123
_space_group_name_Hall '-P 4 2'
loop_
_atom_site_label
_atom_site_fract_x
_atom_site_fract_y
_atom_site_fract_z
_atom_site_occupancy
Sc1 0.0000 0.0000 0.1305 1
Sc2 0.5000 0.5000 0.3631 1
Ru1 0.5000 0.5000 0.0000 1
Rh1 0.0000 0.0000 0.5000 1
```

***

What is the stability order? It is (y), (w), (x), from most stable to least stable.